# InPbW (PBE-GGA, relaxed)
data_InPbW
_cell_length_a 5.0201
_cell_length_b 5.0201
_cell_length_c 3.0016
_cell_angle_alpha 90.00
_cell_angle_beta 90.00
_cell_angle_gamma 120.00
_symmetry_space_group_name_H-M 'P -6 m 2'
_symmetry_Int_Tables_number 187
_symmetry_space_group_name_Hall 'P -6 2'
loop_
_atom_site_label
_atom_site_type_symbol
_atom_site_fract_x
_atom_site_fract_y
_atom_site_fract_z
_atom_site_occupancy
In1 In 0.0000 0.0000 0.0000 1
Pb1 Pb 0.6667 0.3333 0.5000 1
W1 W 0.3333 0.6667 0.5000 1
# Excess energy over the best structure of this formula in the dataset = 21.9 kJ/mol of atoms
# Magnetic moment = 0.00 Bohr magnetons per cell
# D(E_F) = 0.725 states/eV per atom
# Total DFT energy (no corrections) = -5.511 eV per atom
# Energy of formation = 92.2 kJ/mol of atoms
# Crystal system = hexagonal



# ScP (PBE-GGA, relaxed)
data_ScP
_cell_length_a 3.7869
_cell_length_b 11.9064
_cell_length_c 6.9827
_cell_angle_alpha 90.00
_cell_angle_beta 90.00
_cell_angle_gamma 90.00
_symmetry_space_group_name_H-M 'A m m 2'
_symmetry_Int_Tables_number 38
loop_
_symmetry_equiv_pos_as_xyz
'x,y,z'
'-x,-y,z'
'-x,y,z'
'x,-y,z'
'x,y+1/2,z+1/2'
'-x,-y+1/2,z+1/2'
'-x,y+1/2,z+1/2'
'x,-y+1/2,z+1/2'
loop_
_atom_site_label
_atom_site_type_symbol
_atom_site_fract_x
_atom_site_fract_y
_atom_site_fract_z
_atom_site_occupancy
Sc1 Sc 0.0000 0.0000 0.0000 1
Sc2 Sc 0.5000 0.2154 0.8037 1
P1 P 0.0000 0.2139 0.0702 1
P2 P 0.5000 0.0000 0.7625 1
# Magnetic moment = 0.00 Bohr magnetons per cell
# D(E_F) = 0.013 states/eV per atom
# Total DFT energy (no corrections) = -6.902 eV per atom
# Energy of formation = -99.5 kJ/mol of atoms
# Crystal system = orthorhombic



# ErCuCl6 (PBE-GGA, relaxed)
data_ErCuCl6
_cell_length_a 5.6132
_cell_length_b 6.7760
_cell_length_c 6.9719
_cell_angle_alpha 63.35
_cell_angle_beta 72.31
_cell_angle_gamma 89.43
_symmetry_space_group_name_H-M 'P -1'
_symmetry_Int_Tables_number 2
loop_
_symmetry_equiv_pos_as_xyz
'x,y,z'
'-x,-y,-z'
loop_
_atom_site_label
_atom_site_type_symbol
_atom_site_fract_x
_atom_site_fract_y
_atom_site_fract_z
_atom_site_occupancy
Er1 Er 0.0000 0.0000 0.0000 1
Cu1 Cu 0.5000 0.5000 0.0000 1
Cl1 Cl 0.0218 0.2083 0.5902 1
Cl2 Cl 0.3037 0.3876 0.8243 1
Cl3 Cl 0.4026 0.8383 0.8258 1
# Formation energy from raw total energies = -1.1903 eV/atom
# Magnetic moment = 0.00 Bohr magnetons per cell
# Total DFT energy (no corrections) = -3.658 eV per atom
# Crystal system = triclinic